[1]
VASP calculation (GGA-PBE) on crystalline Er4GeAsSe2 at its relaxed geometry.

## Properties
Raw formation energy in meV/atom: -1542

a = 7.0700 Å, b = 4.0829 Å, c = 7.0751 Å
α = 90.00°, β = 109.40°, γ = 90.00°
Space group P2/m (No. 10)
Symmetry-distinct sites (fractional):
Er  0.2426  0.0000  0.2362 (multiplicity 2)
Er  0.2513  0.5000  0.7636 (multiplicity 2)
Ge  0.0000  0.5000  0.0000 (multiplicity 1)
As  0.5000  0.0000  0.0000 (multiplicity 1)
Se  0.0000  0.0000  0.5000 (multiplicity 1)
Se  0.5000  0.5000  0.5000 (multiplicity 1)

=====

[2]
VASP calculation (GGA-PBE) on crystalline Sr4PdN at its relaxed geometry.

## Properties
Raw formation energy in meV/atom: -420

a = 9.0828 Å, b = 15.3516 Å, c = 6.8122 Å
α = 90.00°, β = 126.82°, γ = 90.00°
Space group C2/c (No. 15)
Symmetry-distinct sites (fractional):
Sr  0.1442  0.1955  0.1524 (multiplicity 8)
Sr  0.2379  0.0376  0.7047 (multiplicity 8)
Pd  0.0000  0.3726  0.7500 (multiplicity 4)
N  0.0000  0.0751  0.2500 (multiplicity 4)

=====

[3]
VASP calculation (GGA-PBE) on crystalline Rb2BeAs2Au at its relaxed geometry.

## Properties
Formation energy in eV per atom: -0.216

a = 6.3121 Å, b = 17.1962 Å, c = 6.0072 Å
α = 90.00°, β = 90.00°, γ = 90.00°
Space group Ibam (No. 72)
Symmetry-distinct sites (fractional):
Rb  0.2255  0.1648  0.0000 (multiplicity 8)
Be  0.0000  0.5000  0.2500 (multiplicity 4)
As  0.2046  0.4220  0.0000 (multiplicity 8)
Au  0.0000  0.0000  0.2500 (multiplicity 4)

=====

[4]
VASP calculation (GGA-PBE) on crystalline Rb2Si2Au at its relaxed geometry.

## Properties
Distance to the lowest polymorph of the same formula in meV/atom: 0
Raw formation energy in meV/atom: 79

a = 6.5766 Å, b = 6.5766 Å, c = 5.9624 Å
α = 90.00°, β = 90.00°, γ = 90.00°
Space group P4/mbm (No. 127)
Symmetry-distinct sites (fractional):
Rb  0.1826  0.3174  0.0000 (multiplicity 4)
Si  0.1285  0.6285  0.5000 (multiplicity 4)
Au  0.0000  0.0000  0.5000 (multiplicity 2)

=====

[5]
VASP calculation (GGA-PBE) on crystalline ZrPa2Se3 at its relaxed geometry.

## Properties
Raw formation energy in meV/atom: -1165

a = 7.8253 Å, b = 11.3188 Å, c = 24.5770 Å
α = 90.00°, β = 90.00°, γ = 90.00°
Space group Fddd (No. 70, origin choice 2)
Symmetry-distinct sites (fractional):
Zr  0.1250  0.1250  0.0410 (multiplicity 16)
Pa  0.1250  0.1250  0.3747 (multiplicity 16)
Pa  0.1250  0.1250  0.5437 (multiplicity 16)
Se  0.1084  0.3750  0.3750 (multiplicity 16)
Se  0.1216  0.3698  0.2109 (multiplicity 32)

=====

[6]
VASP calculation (GGA-PBE) on crystalline PmPr3Sc2Te6 at its relaxed geometry.

## Properties
Raw formation energy in meV/atom: -1310

a = 19.2733 Å, b = 4.3571 Å, c = 8.8977 Å
α = 90.00°, β = 104.27°, γ = 90.00°
Space group C2/m (No. 12)
Symmetry-distinct sites (fractional):
Pm  0.0000  0.0000  0.0000 (multiplicity 2)
Pr  0.0000  0.0000  0.5000 (multiplicity 2)
Pr  0.1588  0.5000  0.8288 (multiplicity 4)
Sc  0.1656  0.5000  0.3298 (multiplicity 4)
Te  0.0105  0.5000  0.2521 (multiplicity 4)
Te  0.1696  0.0000  0.1023 (multiplicity 4)
Te  0.1738  0.0000  0.5672 (multiplicity 4)

=====

[7]
VASP calculation (GGA-PBE) on crystalline DyAl4Sb at its relaxed geometry.

## Properties
Raw formation energy in meV/atom: -187

a = 7.8480 Å, b = 7.8480 Å, c = 7.8480 Å
α = 90.00°, β = 90.00°, γ = 90.00°
Space group F-43m (No. 216)
Symmetry-distinct sites (fractional):
Dy  0.0000  0.0000  0.0000 (multiplicity 4)
Al  0.1249  0.1249  0.3751 (multiplicity 16)
Sb  0.2500  0.2500  0.7500 (multiplicity 4)

=====

[8]
VASP calculation (GGA-PBE) on crystalline AcH2Au at its relaxed geometry.

## Properties
Distance to the lowest polymorph of the same formula in meV/atom: 0

a = 5.1279 Å, b = 6.7533 Å, c = 7.8228 Å
α = 90.00°, β = 90.02°, γ = 90.00°
Space group P2_1/c (No. 14)
Symmetry-distinct sites (fractional):
Ac  0.2499  0.1511  0.1705 (multiplicity 4)
H  0.0135  0.1455  0.8915 (multiplicity 4)
H  0.4883  0.1465  0.8920 (multiplicity 4)
Au  0.2499  0.6200  0.0237 (multiplicity 4)

=====

[9]
VASP calculation (GGA-PBE) on crystalline Tb6ZnTe2 at its relaxed geometry.

## Properties
Raw formation energy in meV/atom: -326

a = 6.9600 Å, b = 6.9600 Å, c = 12.8677 Å
α = 90.00°, β = 90.00°, γ = 90.00°
Space group P4_2/mnm (No. 136)
Symmetry-distinct sites (fractional):
Tb  0.1974  0.1974  0.1621 (multiplicity 8)
Tb  0.2208  0.2208  0.5000 (multiplicity 4)
Zn  0.0000  0.0000  0.0000 (multiplicity 2)
Te  0.0000  0.0000  0.3390 (multiplicity 4)

=====

[10]
VASP calculation (GGA-PBE) on crystalline ZnCo2Re at its relaxed geometry.

## Properties
Formation energy in eV per atom: 0.117

a = 2.6271 Å, b = 2.6271 Å, c = 7.3142 Å
α = 90.00°, β = 90.00°, γ = 90.00°
Space group P4mm (No. 99)
Symmetry-distinct sites (fractional):
Zn  0.0000  0.0000  0.0000 (multiplicity 1)
Co  0.0000  0.0000  0.4677 (multiplicity 1)
Co  0.5000  0.5000  0.2476 (multiplicity 1)
Re  0.5000  0.5000  0.7132 (multiplicity 1)

=====

[11]
VASP calculation (GGA-PBE) on crystalline CePmAs2Pt2 at its relaxed geometry.

## Properties
Formation energy in eV per atom: -1.222

a = 4.3166 Å, b = 4.3166 Å, c = 8.0318 Å
α = 90.00°, β = 90.00°, γ = 120.00°
Space group P-3m1 (No. 164)
Symmetry-distinct sites (fractional):
Ce  0.0000  0.0000  0.0000 (multiplicity 1)
Pm  0.0000  0.0000  0.5000 (multiplicity 1)
As  0.3333  0.6667  0.2654 (multiplicity 2)
Pt  0.3333  0.6667  0.7678 (multiplicity 2)

=====

[12]
VASP calculation (GGA-PBE) on crystalline YCr2Co at its relaxed geometry.

## Properties
Distance to the lowest polymorph of the same formula in meV/atom: 436
Formation energy in eV per atom: 0.746

a = 6.1502 Å, b = 6.1502 Å, c = 6.1502 Å
α = 90.00°, β = 90.00°, γ = 90.00°
Space group Fm-3m (No. 225)
Symmetry-distinct sites (fractional):
Y  0.0000  0.0000  0.0000 (multiplicity 4)
Cr  0.2500  0.2500  0.2500 (multiplicity 8)
Co  0.0000  0.0000  0.5000 (multiplicity 4)

=====

[13]
VASP calculation (GGA-PBE) on crystalline CsNaLaC at its relaxed geometry.

## Properties
Distance to the lowest polymorph of the same formula in meV/atom: 165
Formation energy in eV per atom: 0.544

a = 12.9994 Å, b = 6.5289 Å, c = 3.7261 Å
α = 90.00°, β = 106.14°, γ = 90.00°
Space group Cm (No. 8)
Symmetry-distinct sites (fractional):
Cs  0.0000  0.0000  0.0000 (multiplicity 2)
Na  0.3864  0.0000  0.1993 (multiplicity 2)
La  0.1583  0.5000  0.4323 (multiplicity 2)
C  0.0471  0.5000  0.8181 (multiplicity 2)

=====

[14]
VASP calculation (GGA-PBE) on crystalline UIF3 at its relaxed geometry.

## Properties
Raw formation energy in meV/atom: -2812

a = 5.5725 Å, b = 5.9149 Å, c = 8.3503 Å
α = 90.00°, β = 128.88°, γ = 90.00°
Space group Pc (No. 7)
Symmetry-distinct sites (fractional):
U  0.0000  0.0978  0.0000 (multiplicity 2)
I  0.1885  0.3818  0.4303 (multiplicity 2)
F  0.5130  0.0901  0.2334 (multiplicity 2)
F  0.6485  0.2982  0.9288 (multiplicity 2)
F  0.9634  0.1128  0.7070 (multiplicity 2)

=====

[15]
VASP calculation (GGA-PBE) on crystalline IrPbCl2 at its relaxed geometry.

## Properties
Distance to the lowest polymorph of the same formula in meV/atom: 236
Raw formation energy in meV/atom: 136

a = 3.2485 Å, b = 3.2485 Å, c = 28.4706 Å
α = 90.00°, β = 90.00°, γ = 120.00°
Space group R-3m (No. 166, hexagonal axes)
Symmetry-distinct sites (fractional):
Ir  0.0000  0.0000  0.0000 (multiplicity 3)
Pb  0.0000  0.0000  0.5000 (multiplicity 3)
Cl  0.0000  0.0000  0.0796 (multiplicity 6)

=====

[16]
VASP calculation (GGA-PBE) on crystalline CsK2Bi6 at its relaxed geometry.

## Properties
Formation energy in eV per atom: -0.205

a = 4.6682 Å, b = 11.4815 Å, c = 15.1876 Å
α = 90.00°, β = 90.00°, γ = 90.00°
Space group Immm (No. 71)
Symmetry-distinct sites (fractional):
Cs  0.0000  0.0000  0.0000 (multiplicity 2)
K  0.0000  0.5000  0.1597 (multiplicity 4)
Bi  0.0000  0.1367  0.5000 (multiplicity 4)
Bi  0.0000  0.2689  0.3167 (multiplicity 8)

=====

[17]
VASP calculation (GGA-PBE) on crystalline Tb15Sm2Tm2 at its relaxed geometry.

## Properties
Formation energy in eV per atom: 0.276

a = 11.1898 Å, b = 11.1898 Å, c = 17.6110 Å
α = 90.00°, β = 90.00°, γ = 120.00°
Space group R-3m (No. 166, hexagonal axes)
Symmetry-distinct sites (fractional):
Tb  0.0000  0.2963  0.0000 (multiplicity 18)
Tb  0.0000  0.5000  0.5000 (multiplicity 9)
Tb  0.0131  0.5065  0.1361 (multiplicity 18)
Sm  0.0000  0.0000  0.3230 (multiplicity 6)
Tm  0.0000  0.0000  0.0954 (multiplicity 6)

=====

[18]
VASP calculation (GGA-PBE) on crystalline NdPu2Os at its relaxed geometry.

## Properties
Distance to the lowest polymorph of the same formula in meV/atom: 0
Formation energy in eV per atom: 0.034

a = 15.3607 Å, b = 8.7895 Å, c = 6.0473 Å
α = 90.00°, β = 90.00°, γ = 90.00°
Space group Pnma (No. 62)
Symmetry-distinct sites (fractional):
Nd  0.1092  0.2500  0.2246 (multiplicity 4)
Nd  0.1368  0.7500  0.9992 (multiplicity 4)
Pu  0.0377  0.0527  0.7418 (multiplicity 8)
Pu  0.2138  0.5544  0.4696 (multiplicity 8)
Os  0.0652  0.7500  0.5148 (multiplicity 4)
Os  0.1836  0.2500  0.7135 (multiplicity 4)

=====

[19]
VASP calculation (GGA-PBE) on crystalline CsYPuCl6 at its relaxed geometry.

## Properties
Raw formation energy in meV/atom: -2017

a = 9.7906 Å, b = 10.1484 Å, c = 14.2923 Å
α = 90.00°, β = 90.00°, γ = 90.00°
Space group Imma (No. 74)
Symmetry-distinct sites (fractional):
Cs  0.0000  0.2500  0.0912 (multiplicity 4)
Y  0.0000  0.0000  0.5000 (multiplicity 4)
Pu  0.2500  0.2500  0.7500 (multiplicity 4)
Cl  0.0000  0.2500  0.4415 (multiplicity 4)
Cl  0.0000  0.2500  0.8453 (multiplicity 4)
Cl  0.1971  0.0383  0.6246 (multiplicity 16)

=====

[20]
VASP calculation (GGA-PBE) on crystalline BaTl2Cu at its relaxed geometry.

## Properties
Formation energy in eV per atom: -0.137

a = 4.7727 Å, b = 4.7727 Å, c = 18.7818 Å
α = 90.00°, β = 90.00°, γ = 120.00°
Space group R3m (No. 160, hexagonal axes)
Symmetry-distinct sites (fractional):
Ba  0.0000  0.0000  0.0000 (multiplicity 3)
Tl  0.0000  0.0000  0.5438 (multiplicity 3)
Tl  0.0000  0.0000  0.7861 (multiplicity 3)
Cu  0.0000  0.0000  0.1839 (multiplicity 3)

=====

no.,DOS(E_F) (states/eV per atom)
1,0.169
2,0.503
3,0.750
4,0.420
5,1.439
6,0.598
7,0.839
8,0.180
9,1.693
10,0.993
11,1.072
12,1.276
13,0.654
14,0.982
15,1.229
16,0.216
17,1.803
18,3.280
19,1.885
20,0.520